# GGA-PBE Ca2CoHg, relaxed
data_Ca2CoHg
_chemical_formula_sum 'Ca4 Co2 Hg2'
_space_group_name_H-M_alt 'C 1 2/m 1'
_space_group_IT_number 12
_cell_length_a 6.7665
_cell_length_b 3.6691
_cell_length_c 8.7555
_cell_angle_alpha 90.00
_cell_angle_beta 102.87
_cell_angle_gamma 90.00
loop_
_space_group_symop_operation_xyz
'x,y,z'
'-x,-y,-z'
'-x,y,-z'
'x,-y,z'
'x+1/2,y+1/2,z'
'-x+1/2,-y+1/2,-z'
'-x+1/2,y+1/2,-z'
'x+1/2,-y+1/2,z'
loop_
_atom_site_label
_atom_site_type_symbol
_atom_site_fract_x
_atom_site_fract_y
_atom_site_fract_z
Ca1 Ca 0.2384 0.0000 0.2124
Co1 Co 0.0000 0.5000 0.0000
Hg1 Hg 0.0000 0.0000 0.5000
# - Energy of formation: 152 meV per atom
# - Calculated density: 5.323 Mg/m³

=====

# GGA-PBE Ca2CoHg, relaxed
data_Ca2CoHg
_chemical_formula_sum 'Ca2 Co1 Hg1'
_space_group_name_H-M_alt 'P 4 m m'
_space_group_IT_number 99
_cell_length_a 3.5860
_cell_length_b 3.5860
_cell_length_c 8.0167
_cell_angle_alpha 90.00
_cell_angle_beta 90.00
_cell_angle_gamma 90.00
loop_
_space_group_symop_operation_xyz
'x,y,z'
'-y,x,z'
'-x,-y,z'
'y,-x,z'
'-x,y,z'
'y,x,z'
'x,-y,z'
'-y,-x,z'
loop_
_atom_site_label
_atom_site_type_symbol
_atom_site_fract_x
_atom_site_fract_y
_atom_site_fract_z
Ca1 Ca 0.0000 0.0000 0.0000
Ca2 Ca 0.5000 0.5000 0.3909
Co1 Co 0.0000 0.0000 0.6204
Hg1 Hg 0.5000 0.5000 0.7637
# - Energy of formation: 90 meV per atom
# - Calculated density: 5.471 Mg/m³

=====

What is the calculated density in the second record?
5.471 Mg/m³

=====

Number 2 is which compound?
Ca2CoHg